[1]
# ErTmSe2 PBE-GGA optimized geometry
data_ErTmSe2
_chemical_formula_sum 'Er1 Tm1 Se2'
_cell_length_a 6.948
_cell_length_b 6.948
_cell_length_c 6.948
_cell_angle_alpha 33.75
_cell_angle_beta 33.75
_cell_angle_gamma 33.75
_space_group_name_H-M_alt 'P 1'
_space_group_IT_number 1
loop_
_space_group_symop_operation_xyz
'x,y,z'
loop_
_atom_site_label
_atom_site_fract_x
_atom_site_fract_y
_atom_site_fract_z
Er1 0.000 0.000 0.000
Tm1 0.500 0.500 0.500
Se1 0.249 0.249 0.249
Se2 0.751 0.751 0.751
# DOS(E_F): 0.47 states/eV per atom
# formation energy (no corrections): -1675 meV/atom
# crystal system: trigonal
# polymorph energy (0 for the lowest one): 3 meV per atom
# calculated density: 8.895 Mg/m³
# volume: 23.1 Å³/atom

[2]
# ErTm2Se2 PBE-GGA optimized geometry
data_ErTm2Se2
_chemical_formula_sum 'Er1 Tm2 Se2'
_cell_length_a 8.435
_cell_length_b 8.435
_cell_length_c 8.435
_cell_angle_alpha 152.63
_cell_angle_beta 152.63
_cell_angle_gamma 39.09
_space_group_name_H-M_alt 'P 1'
_space_group_IT_number 1
loop_
_space_group_symop_operation_xyz
'x,y,z'
loop_
_atom_site_label
_atom_site_fract_x
_atom_site_fract_y
_atom_site_fract_z
Er1 0.000 0.000 0.000
Tm1 0.357 0.357 0.000
Tm2 0.643 0.643 0.000
Se1 0.176 0.176 0.000
Se2 0.824 0.824 0.000
# DOS(E_F): 0.59 states/eV per atom
# formation energy (no corrections): -1292 meV/atom
# crystal system: tetragonal
# polymorph energy (0 for the lowest one): 52 meV per atom
# calculated density: 8.699 Mg/m³
# volume: 25.3 Å³/atom

[3]
# ErTm3Se4 PBE-GGA optimized geometry
data_ErTm3Se4
_chemical_formula_sum 'Er2 Tm6 Se8'
_cell_length_a 6.994
_cell_length_b 7.947
_cell_length_c 6.998
_cell_angle_alpha 90.00
_cell_angle_beta 109.16
_cell_angle_gamma 90.00
_space_group_name_H-M_alt 'P 1'
_space_group_IT_number 1
loop_
_space_group_symop_operation_xyz
'x,y,z'
loop_
_atom_site_label
_atom_site_fract_x
_atom_site_fract_y
_atom_site_fract_z
Er1 0.000 0.125 0.250
Er2 0.000 0.875 0.750
Tm1 0.000 0.374 0.750
Tm2 0.000 0.626 0.250
Tm3 0.500 0.125 0.750
Tm4 0.500 0.375 0.250
Tm5 0.500 0.625 0.750
Tm6 0.500 0.875 0.250
Se1 0.251 0.126 0.000
Se2 0.251 0.376 0.501
Se3 0.251 0.624 0.001
Se4 0.251 0.874 0.500
Se5 0.749 0.126 0.500
Se6 0.749 0.376 0.999
Se7 0.749 0.624 0.499
Se8 0.749 0.874 0.000
# DOS(E_F): 0.42 states/eV per atom
# formation energy (no corrections): -1668 meV/atom
# crystal system: monoclinic
# polymorph energy (0 for the lowest one): 0 meV per atom
# calculated density: 8.948 Mg/m³
# volume: 23.0 Å³/atom

[4]
# Er2Tm2Se3 PBE-GGA optimized geometry
data_Er2Tm2Se3
_chemical_formula_sum 'Er2 Tm2 Se3'
_cell_length_a 6.911
_cell_length_b 6.911
_cell_length_c 6.841
_cell_angle_alpha 100.32
_cell_angle_beta 100.32
_cell_angle_gamma 32.78
_space_group_name_H-M_alt 'P 1'
_space_group_IT_number 1
loop_
_space_group_symop_operation_xyz
'x,y,z'
loop_
_atom_site_label
_atom_site_fract_x
_atom_site_fract_y
_atom_site_fract_z
Er1 0.123 0.123 0.355
Er2 0.877 0.877 0.645
Tm1 0.385 0.385 0.111
Tm2 0.615 0.615 0.889
Se1 0.239 0.239 0.747
Se2 0.500 0.500 0.500
Se3 0.761 0.761 0.253
# DOS(E_F): 0.51 states/eV per atom
# formation energy (no corrections): -1416 meV/atom
# crystal system: monoclinic
# calculated density: 8.687 Mg/m³
# volume: 24.8 Å³/atom

[5]
# ErTmSe2 PBE-GGA optimized geometry
data_ErTmSe2
_chemical_formula_sum 'Er1 Tm1 Se2'
_cell_length_a 7.422
_cell_length_b 7.422
_cell_length_c 7.422
_cell_angle_alpha 30.50
_cell_angle_beta 30.50
_cell_angle_gamma 30.50
_space_group_name_H-M_alt 'P 1'
_space_group_IT_number 1
loop_
_space_group_symop_operation_xyz
'x,y,z'
loop_
_atom_site_label
_atom_site_fract_x
_atom_site_fract_y
_atom_site_fract_z
Er1 0.000 0.000 0.000
Tm1 0.176 0.176 0.176
Se1 0.421 0.421 0.421
Se2 0.589 0.589 0.589
# DOS(E_F): 0.25 states/eV per atom
# formation energy (no corrections): -1678 meV/atom
# crystal system: trigonal
# polymorph energy (0 for the lowest one): 0 meV per atom
# calculated density: 8.790 Mg/m³
# volume: 23.3 Å³/atom

[6]
# ErTm2Se2 PBE-GGA optimized geometry
data_ErTm2Se2
_chemical_formula_sum 'Er1 Tm2 Se2'
_cell_length_a 10.120
_cell_length_b 10.120
_cell_length_c 10.120
_cell_angle_alpha 21.98
_cell_angle_beta 21.98
_cell_angle_gamma 21.98
_space_group_name_H-M_alt 'P 1'
_space_group_IT_number 1
loop_
_space_group_symop_operation_xyz
'x,y,z'
loop_
_atom_site_label
_atom_site_fract_x
_atom_site_fract_y
_atom_site_fract_z
Er1 0.000 0.000 0.000
Tm1 0.212 0.212 0.212
Tm2 0.788 0.788 0.788
Se1 0.392 0.392 0.392
Se2 0.608 0.608 0.608
# DOS(E_F): 0.71 states/eV per atom
# formation energy (no corrections): -1344 meV/atom
# crystal system: trigonal
# polymorph energy (0 for the lowest one): 0 meV per atom
# calculated density: 8.646 Mg/m³
# volume: 25.5 Å³/atom

[7]
# ErTmSe PBE-GGA optimized geometry
data_ErTmSe
_chemical_formula_sum 'Er1 Tm1 Se1'
_cell_length_a 6.519
_cell_length_b 6.519
_cell_length_c 6.519
_cell_angle_alpha 148.33
_cell_angle_beta 148.33
_cell_angle_gamma 45.40
_space_group_name_H-M_alt 'P 1'
_space_group_IT_number 1
loop_
_space_group_symop_operation_xyz
'x,y,z'
loop_
_atom_site_label
_atom_site_fract_x
_atom_site_fract_y
_atom_site_fract_z
Er1 0.000 0.000 0.000
Tm1 0.705 0.705 0.000
Se1 0.352 0.352 0.000
# DOS(E_F): 0.95 states/eV per atom
# formation energy (no corrections): -946 meV/atom
# crystal system: tetragonal
# polymorph energy (0 for the lowest one): 137 meV per atom
# calculated density: 9.056 Mg/m³
# volume: 25.4 Å³/atom

[8]
# Er4TmSe5 PBE-GGA optimized geometry
data_Er4TmSe5
_chemical_formula_sum 'Er4 Tm1 Se5'
_cell_length_a 16.496
_cell_length_b 16.496
_cell_length_c 16.496
_cell_angle_alpha 14.10
_cell_angle_beta 14.10
_cell_angle_gamma 14.10
_space_group_name_H-M_alt 'P 1'
_space_group_IT_number 1
loop_
_space_group_symop_operation_xyz
'x,y,z'
loop_
_atom_site_label
_atom_site_fract_x
_atom_site_fract_y
_atom_site_fract_z
Er1 0.100 0.100 0.100
Er2 0.300 0.300 0.300
Er3 0.700 0.700 0.700
Er4 0.900 0.900 0.900
Tm1 0.500 0.500 0.500
Se1 0.000 0.000 0.000
Se2 0.200 0.200 0.200
Se3 0.400 0.400 0.400
Se4 0.600 0.600 0.600
Se5 0.800 0.800 0.800
# DOS(E_F): 0.50 states/eV per atom
# formation energy (no corrections): -1685 meV/atom
# crystal system: trigonal
# calculated density: 8.833 Mg/m³
# volume: 23.2 Å³/atom

[9]
# ErTm3Se4 PBE-GGA optimized geometry
data_ErTm3Se4
_chemical_formula_sum 'Er1 Tm3 Se4'
_cell_length_a 5.688
_cell_length_b 5.688
_cell_length_c 5.688
_cell_angle_alpha 90.00
_cell_angle_beta 90.00
_cell_angle_gamma 90.00
_space_group_name_H-M_alt 'P 1'
_space_group_IT_number 1
loop_
_space_group_symop_operation_xyz
'x,y,z'
loop_
_atom_site_label
_atom_site_fract_x
_atom_site_fract_y
_atom_site_fract_z
Er1 0.000 0.000 0.000
Tm1 0.000 0.500 0.500
Tm2 0.500 0.000 0.500
Tm3 0.500 0.500 0.000
Se1 0.000 0.000 0.500
Se2 0.000 0.500 0.000
Se3 0.500 0.000 0.000
Se4 0.500 0.500 0.500
# DOS(E_F): 0.65 states/eV per atom
# formation energy (no corrections): -1655 meV/atom
# crystal system: cubic
# polymorph energy (0 for the lowest one): 13 meV per atom
# calculated density: 8.933 Mg/m³
# volume: 23.0 Å³/atom

[10]
# Er5Tm3Se8 PBE-GGA optimized geometry
data_Er5Tm3Se8
_chemical_formula_sum 'Er5 Tm3 Se8'
_cell_length_a 8.056
_cell_length_b 8.056
_cell_length_c 8.056
_cell_angle_alpha 60.04
_cell_angle_beta 60.04
_cell_angle_gamma 60.04
_space_group_name_H-M_alt 'P 1'
_space_group_IT_number 1
loop_
_space_group_symop_operation_xyz
'x,y,z'
loop_
_atom_site_label
_atom_site_fract_x
_atom_site_fract_y
_atom_site_fract_z
Er1 0.000 0.000 0.000
Er2 0.000 0.500 0.500
Er3 0.500 0.000 0.500
Er4 0.500 0.500 0.000
Er5 0.500 0.500 0.500
Tm1 0.000 0.000 0.500
Tm2 0.000 0.500 0.000
Tm3 0.500 0.000 0.000
Se1 0.249 0.249 0.249
Se2 0.249 0.750 0.750
Se3 0.250 0.250 0.751
Se4 0.250 0.751 0.250
Se5 0.750 0.249 0.750
Se6 0.750 0.750 0.249
Se7 0.751 0.250 0.250
Se8 0.751 0.751 0.751
# DOS(E_F): 0.64 states/eV per atom
# formation energy (no corrections): -1675 meV/atom
# crystal system: trigonal
# calculated density: 8.862 Mg/m³
# volume: 23.1 Å³/atom